[1]
This record from Alexandria via LeMat-Bulk describes an optimized crystal structure of Sc2Ag2Te. The functional is PBE.

Calculated values
Excess energy over the best structure of this formula in the dataset: 15 meV/atom
Mass density: 6.5 g cm⁻³
Formation energy without anion corrections: -0.320 eV/atom
DOS(E_F): 4.221 states/eV/f.u.
Volume: 22.03 A^3/atom
M_tot: 0.00 μB/atom

a b c (Å): 7.565 7.565 3.849
angles (deg): 90.00 90.00 90.00
Positions (direct):
Sc 0.164 0.664 0.500
Sc 0.664 0.836 0.500
Sc 0.836 0.336 0.500
Sc 0.336 0.164 0.500
Te 0.000 0.000 0.000
Te 0.500 0.500 0.000
Ag 0.372 0.872 0.000
Ag 0.872 0.628 0.000
Ag 0.628 0.128 0.000
Ag 0.128 0.372 0.000

=====

[2]
This record from Alexandria via LeMat-Bulk describes an optimized crystal structure of NdGdDySc. The functional is PBE.

Calculated values
Mass density: 6.8 g cm⁻³
ΔH_f (0 K): 104 meV per atom
DOS(E_F): 6.902 states/eV/f.u.
Volume: 30.86 A^3/atom
M_tot: 1.86 μB/atom

a b c (Å): 5.589 5.589 5.589
angles (deg): 60.00 60.00 60.00
Positions (direct):
Sc 0.000 0.000 0.000
Gd 0.250 0.250 0.250
Nd 0.750 0.750 0.750
Dy 0.500 0.500 0.500

=====

[3]
This record from Alexandria via LeMat-Bulk describes an optimized crystal structure of Ce2Zn3Cu12Ir. The functional is PBE.

Calculated values
Mass density: 7.6 g cm⁻³
ΔH_f (0 K): 369 meV per atom
DOS(E_F): 12.813 states/eV/f.u.
Volume: 17.40 A^3/atom
M_tot: 0.09 μB/atom

a b c (Å): 7.086 7.086 7.086
angles (deg): 72.10 72.10 72.10
Positions (direct):
Ce 0.586 0.586 0.586
Ce 0.414 0.414 0.414
Zn 0.500 0.000 0.000
Zn 0.000 0.500 0.000
Zn 0.000 0.000 0.500
Cu 0.376 0.376 0.003
Cu 0.840 0.840 0.345
Cu 0.345 0.840 0.840
Cu 0.003 0.376 0.376
Cu 0.840 0.345 0.840
Cu 0.376 0.003 0.376
Cu 0.624 0.624 0.997
Cu 0.160 0.160 0.655
Cu 0.655 0.160 0.160
Cu 0.997 0.624 0.624
Cu 0.160 0.655 0.160
Cu 0.624 0.997 0.624
Ir 0.000 0.000 0.000

=====

[4]
This record from Alexandria via LeMat-Bulk describes an optimized crystal structure of Cs2Tl2Pt3. The functional is PBE.

Calculated values
Excess energy over the best structure of this formula in the dataset: 26 meV/atom
Mass density: 8.6 g cm⁻³
ΔH_f (0 K): -149 meV per atom
DOS(E_F): 0.758 states/eV/f.u.
Volume: 34.55 A^3/atom
M_tot: 0.00 μB/atom

a b c (Å): 4.397 7.662 7.578
angles (deg): 98.18 90.00 106.68
Positions (direct):
Cs 0.840 0.680 0.296
Cs 0.160 0.320 0.704
Tl 0.896 0.792 0.817
Tl 0.104 0.208 0.183
Pt 0.500 0.000 0.000
Pt 0.533 0.065 0.353
Pt 0.467 0.935 0.647

=====

[5]
This record from Alexandria via LeMat-Bulk describes an optimized crystal structure of Li5InAu4. The functional is PBE.

Calculated values
Excess energy over the best structure of this formula in the dataset: 24 meV/atom
Mass density: 9.6 g cm⁻³
ΔH_f (0 K): -480 meV per atom
DOS(E_F): 2.672 states/eV/f.u.
Volume: 16.27 A^3/atom
M_tot: 0.00 μB/atom

a b c (Å): 2.978 2.978 18.346
angles (deg): 90.00 90.00 90.00
Positions (direct):
Li 0.500 0.500 0.118
Li 0.500 0.500 0.307
Li 0.500 0.500 0.500
Li 0.500 0.500 0.693
Li 0.500 0.500 0.882
In 0.000 0.000 0.000
Au 0.000 0.000 0.211
Au 0.000 0.000 0.404
Au 0.000 0.000 0.596
Au 0.000 0.000 0.789

=====

[6]
This record from Alexandria via LeMat-Bulk describes an optimized crystal structure of CaAcTlPb. The functional is PBE.

Calculated values
Mass density: 8.5 g cm⁻³
ΔH_f (0 K): -450 meV per atom
DOS(E_F): 2.744 states/eV/f.u.
Volume: 33.15 A^3/atom
M_tot: 0.00 μB/atom

a b c (Å): 5.724 5.724 5.724
angles (deg): 60.00 60.00 60.00
Positions (direct):
Pb 0.000 0.000 0.000
Ac 0.250 0.250 0.250
Ca 0.750 0.750 0.750
Tl 0.500 0.500 0.500

=====

[7]
This record from Alexandria via LeMat-Bulk describes an optimized crystal structure of Sc2VAsPd. The functional is PBE.

Calculated values
Mass density: 4.7 g cm⁻³
ΔH_f (0 K): 319 meV per atom
DOS(E_F): 9.807 states/eV/f.u.
Volume: 22.89 A^3/atom
M_tot: 0.06 μB/atom

a b c (Å): 4.986 4.604 4.986
angles (deg): 90.00 90.00 90.00
Positions (direct):
Sc 0.000 0.000 0.500
Sc 0.500 0.000 0.000
As 0.000 0.000 0.000
Pd 0.000 0.500 0.000
V 0.500 0.500 0.500

=====

[8]
This record from Alexandria via LeMat-Bulk describes an optimized crystal structure of CoPbCl2. The functional is PBE.

Calculated values
Excess energy over the best structure of this formula in the dataset: 71 meV/atom
Mass density: 6.1 g cm⁻³
Formation energy without anion corrections: -0.326 eV/atom
DOS(E_F): 4.194 states/eV/f.u.
Volume: 22.81 A^3/atom
M_tot: 0.40 μB/atom

a b c (Å): 5.730 5.730 5.507
angles (deg): 62.54 62.54 35.22
Positions (direct):
Pb 0.165 0.165 0.404
Co 0.464 0.464 0.372
Cl 0.027 0.027 0.032
Cl 0.844 0.844 0.692

=====

[9]
This record from Alexandria via LeMat-Bulk describes an optimized crystal structure of Ca3Pd2Pt. The functional is PBE.

Calculated values
Excess energy over the best structure of this formula in the dataset: 0 meV/atom
Mass density: 6.7 g cm⁻³
ΔH_f (0 K): -750 meV per atom
DOS(E_F): 1.981 states/eV/f.u.
Volume: 21.72 A^3/atom
M_tot: 0.00 μB/atom

a b c (Å): 4.947 7.824 7.097
angles (deg): 90.00 90.00 71.57
Positions (direct):
Ca 0.832 0.336 0.755
Ca 0.500 0.000 0.248
Ca 0.168 0.664 0.245
Ca 0.832 0.336 0.245
Ca 0.168 0.664 0.755
Ca 0.500 0.000 0.752
Pd 0.000 0.000 0.000
Pd 0.000 0.000 0.500
Pd 0.333 0.334 0.500
Pd 0.667 0.666 0.500
Pt 0.336 0.328 0.000
Pt 0.664 0.672 0.000

=====

[10]
This record from Alexandria via LeMat-Bulk describes an optimized crystal structure of La6Er2Th. The functional is PBE.

Calculated values
Excess energy over the best structure of this formula in the dataset: 0 meV/atom
Mass density: 7.3 g cm⁻³
ΔH_f (0 K): 58 meV per atom
DOS(E_F): 14.941 states/eV/f.u.
Volume: 35.35 A^3/atom
M_tot: 0.00 μB/atom

a b c (Å): 3.652 3.652 27.545
angles (deg): 90.00 90.00 120.00
Positions (direct):
La 0.667 0.333 0.892
La 0.333 0.667 0.433
La 0.333 0.667 0.776
La 0.333 0.667 0.224
La 0.333 0.667 0.567
La 0.667 0.333 0.108
Er 0.667 0.333 0.330
Er 0.667 0.333 0.670
Th 0.333 0.667 0.000

=====

[11]
This record from Alexandria via LeMat-Bulk describes an optimized crystal structure of LaPm2Y3Sb6. The functional is PBE.

Calculated values
Mass density: 6.3 g cm⁻³
Formation energy without anion corrections: -1.188 eV/atom
DOS(E_F): 2.220 states/eV/f.u.
Volume: 31.47 A^3/atom
M_tot: 0.00 μB/atom

a b c (Å): 7.740 7.740 7.723
angles (deg): 99.61 99.61 120.00
Positions (direct):
La 0.000 0.000 0.000
Pm 0.333 0.667 0.000
Pm 0.667 0.333 0.000
Y 0.165 0.835 0.500
Y 0.835 0.165 0.500
Y 0.500 0.500 0.500
Sb 0.914 0.577 0.741
Sb 0.749 0.749 0.258
Sb 0.086 0.423 0.259
Sb 0.577 0.914 0.741
Sb 0.251 0.251 0.742
Sb 0.423 0.086 0.259

=====

[12]
This record from Alexandria via LeMat-Bulk describes an optimized crystal structure of P2PbF. The functional is PBE.

Calculated values
Excess energy over the best structure of this formula in the dataset: 0 meV/atom
Mass density: 6.2 g cm⁻³
Formation energy without anion corrections: -0.576 eV/atom
DOS(E_F): 1.506 states/eV/f.u.
Volume: 19.27 A^3/atom
M_tot: 0.00 μB/atom

a b c (Å): 3.611 3.611 12.094
angles (deg): 81.41 81.41 90.00
Positions (direct):
Pb 0.000 0.000 0.000
Pb 0.750 0.250 0.500
P 0.564 0.125 0.250
P 0.186 0.625 0.250
P 0.375 0.436 0.750
P 0.875 0.814 0.750
F 0.500 0.500 0.000
F 0.250 0.750 0.500

=====

[13]
This record from Alexandria via LeMat-Bulk describes an optimized crystal structure of CeScAg6. The functional is PBE.

Calculated values
Mass density: 8.4 g cm⁻³
ΔH_f (0 K): -104 meV per atom
DOS(E_F): 10.490 states/eV/f.u.
Volume: 20.45 A^3/atom
M_tot: 0.12 μB/atom

a b c (Å): 4.566 5.060 8.255
angles (deg): 82.56 73.95 63.18
Positions (direct):
Ce 0.000 0.500 0.500
Sc 0.000 0.000 0.000
Ag 0.244 0.862 0.650
Ag 0.510 0.225 0.755
Ag 0.254 0.382 0.111
Ag 0.490 0.775 0.245
Ag 0.756 0.138 0.350
Ag 0.746 0.618 0.889

=====

[14]
This record from Alexandria via LeMat-Bulk describes an optimized crystal structure of InReAg. The functional is PBE.

Calculated values
Excess energy over the best structure of this formula in the dataset: 47 meV/atom
Mass density: 12.6 g cm⁻³
ΔH_f (0 K): 628 meV per atom
DOS(E_F): 1.873 states/eV/f.u.
Volume: 17.95 A^3/atom
M_tot: 0.00 μB/atom

a b c (Å): 7.589 7.395 2.829
angles (deg): 82.99 75.29 21.72
Positions (direct):
Re 0.667 0.667 0.333
Ag 0.003 0.003 0.997
In 0.330 0.330 0.670

=====

[15]
This record from Alexandria via LeMat-Bulk describes an optimized crystal structure of Sm3Al6Ga5. The functional is PBE.

Calculated values
Mass density: 5.8 g cm⁻³
ΔH_f (0 K): -443 meV per atom
DOS(E_F): 3.494 states/eV/f.u.
Volume: 19.74 A^3/atom
M_tot: 0.00 μB/atom

a b c (Å): 4.276 10.000 12.924
angles (deg): 90.00 90.00 90.00
Positions (direct):
Sm 0.000 0.249 0.677
Sm 0.500 0.751 0.177
Sm 0.500 0.751 0.823
Sm 0.000 0.259 0.000
Sm 0.500 0.741 0.500
Sm 0.000 0.249 0.323
Al 0.000 0.987 0.852
Al 0.500 0.013 0.648
Al 0.500 0.389 0.830
Al 0.500 0.536 0.000
Al 0.000 0.464 0.500
Al 0.000 0.611 0.670
Al 0.000 0.611 0.330
Al 0.500 0.980 0.000
Al 0.000 0.987 0.148
Al 0.500 0.389 0.170
Al 0.000 0.020 0.500
Al 0.500 0.013 0.352
Ga 0.000 0.529 0.865
Ga 0.000 0.866 0.665
Ga 0.000 0.781 0.000
Ga 0.500 0.471 0.635
Ga 0.500 0.219 0.500
Ga 0.000 0.529 0.135
Ga 0.500 0.471 0.365
Ga 0.000 0.866 0.335
Ga 0.500 0.134 0.835
Ga 0.500 0.134 0.165

=====

[16]
This record from Alexandria via LeMat-Bulk describes an optimized crystal structure of KRb5Na2. The functional is PBE.

Calculated values
Excess energy over the best structure of this formula in the dataset: 19 meV/atom
Mass density: 1.4 g cm⁻³
ΔH_f (0 K): 50 meV per atom
DOS(E_F): 5.229 states/eV/f.u.
Volume: 76.46 A^3/atom
M_tot: 0.00 μB/atom

a b c (Å): 4.808 11.808 12.520
angles (deg): 118.14 101.07 90.00
Positions (direct):
K 0.000 0.000 0.000
Rb 0.000 0.500 0.000
Rb 0.646 0.365 0.291
Rb 0.354 0.635 0.709
Rb 0.646 0.926 0.291
Rb 0.354 0.074 0.709
Na 0.200 0.700 0.401
Na 0.800 0.300 0.599

=====

[17]
This record from Alexandria via LeMat-Bulk describes an optimized crystal structure of LiCeEr2Au4. The functional is PBE.

Calculated values
Mass density: 11.8 g cm⁻³
ΔH_f (0 K): -709 meV per atom
DOS(E_F): 9.707 states/eV/f.u.
Volume: 22.36 A^3/atom
M_tot: 0.11 μB/atom

a b c (Å): 4.969 4.969 8.844
angles (deg): 73.69 73.69 60.00
Positions (direct):
Li 0.500 0.500 0.500
Ce 0.000 0.000 0.000
Er 0.761 0.761 0.718
Er 0.239 0.239 0.282
Au 0.389 0.389 0.834
Au 0.878 0.878 0.365
Au 0.122 0.122 0.635
Au 0.611 0.611 0.166

=====

[18]
This record from Alexandria via LeMat-Bulk describes an optimized crystal structure of ScSiF3. The functional is PBE.

Calculated values
Excess energy over the best structure of this formula in the dataset: 0 meV/atom
Mass density: 2.9 g cm⁻³
Formation energy without anion corrections: -2.153 eV/atom
DOS(E_F): 3.596 states/eV/f.u.
Volume: 14.97 A^3/atom
M_tot: 0.04 μB/atom

a b c (Å): 4.215 4.215 4.215
angles (deg): 90.00 90.00 90.00
Positions (direct):
Sc 0.000 0.000 0.000
Si 0.500 0.500 0.500
F 0.000 0.500 0.000
F 0.000 0.000 0.500
F 0.500 0.000 0.000

=====

[19]
This record from Alexandria via LeMat-Bulk describes an optimized crystal structure of Np3Tl3PdS8. The functional is PBE.

Calculated values
Mass density: 7.0 g cm⁻³
Formation energy without anion corrections: -0.864 eV/atom
DOS(E_F): 28.122 states/eV/f.u.
Volume: 26.70 A^3/atom
M_tot: 0.63 μB/atom

a b c (Å): 7.871 7.744 8.804
angles (deg): 115.46 90.00 120.55
Positions (direct):
Np 0.500 0.000 0.500
Np 0.500 0.500 0.500
Np 0.000 0.500 0.500
Tl 0.000 0.000 0.000
Tl 0.000 0.500 0.000
Tl 0.500 0.500 0.000
Pd 0.000 0.000 0.500
S 0.266 0.533 0.301
S 0.734 0.467 0.699
S 0.784 0.569 0.320
S 0.216 0.431 0.680
S 0.762 0.042 0.303
S 0.238 0.958 0.697
S 0.280 0.042 0.303
S 0.720 0.958 0.697

=====

[20]
This record from Alexandria via LeMat-Bulk describes an optimized crystal structure of Pr8YTm4. The functional is PBE.

Calculated values
Mass density: 7.0 g cm⁻³
ΔH_f (0 K): 196 meV per atom
DOS(E_F): 14.325 states/eV/f.u.
Volume: 34.50 A^3/atom
M_tot: 0.00 μB/atom

a b c (Å): 7.260 7.260 10.682
angles (deg): 90.00 109.87 120.00
Positions (direct):
Pr 0.576 0.788 0.365
Pr 0.424 0.212 0.635
Pr 0.496 0.248 0.286
Pr 0.962 0.210 0.714
Pr 0.504 0.752 0.714
Pr 0.962 0.752 0.714
Pr 0.038 0.248 0.286
Pr 0.038 0.790 0.286
Y 0.000 0.500 0.500
Tm 0.000 0.000 0.000
Tm 0.000 0.500 0.000
Tm 0.500 0.500 0.000
Tm 0.500 0.000 0.000

=====

[21]
This record from Alexandria via LeMat-Bulk describes an optimized crystal structure of TlICl4. The functional is PBE.

Calculated values
Excess energy over the best structure of this formula in the dataset: 0 meV/atom
Mass density: 3.7 g cm⁻³
Formation energy without anion corrections: -0.490 eV/atom
DOS(E_F): 0.000 states/eV/f.u.
Volume: 35.27 A^3/atom
M_tot: 0.00 μB/atom

a b c (Å): 8.016 8.049 8.371
angles (deg): 108.00 107.84 111.02
Positions (direct):
Tl 0.377 0.627 0.253
Tl 0.623 0.373 0.747
I 0.124 0.874 0.748
I 0.876 0.126 0.252
Cl 0.934 0.205 0.996
Cl 0.562 0.791 0.996
Cl 0.213 0.439 0.508
Cl 0.787 0.561 0.492
Cl 0.204 0.930 0.492
Cl 0.438 0.209 0.004
Cl 0.796 0.070 0.508
Cl 0.066 0.795 0.004

=====

[22]
This record from Alexandria via LeMat-Bulk describes an optimized crystal structure of NbBP2. The functional is PBE.

Calculated values
Mass density: 4.6 g cm⁻³
ΔH_f (0 K): -18 meV per atom
DOS(E_F): 3.276 states/eV/f.u.
Volume: 15.05 A^3/atom
M_tot: 0.00 μB/atom

a b c (Å): 5.642 5.642 5.498
angles (deg): 59.13 59.13 90.00
Positions (direct):
P 0.542 0.125 0.250
P 0.208 0.625 0.250
P 0.375 0.458 0.750
P 0.875 0.792 0.750
Nb 0.000 0.000 0.000
Nb 0.750 0.250 0.500
B 0.500 0.500 0.000
B 0.250 0.750 0.500

=====

[23]
This record from Alexandria via LeMat-Bulk describes an optimized crystal structure of Ti2VInN. The functional is PBE.

Calculated values
Mass density: 6.4 g cm⁻³
Formation energy without anion corrections: -0.725 eV/atom
DOS(E_F): 5.155 states/eV/f.u.
Volume: 14.32 A^3/atom
M_tot: 0.00 μB/atom

a b c (Å): 4.291 4.291 3.890
angles (deg): 90.00 90.00 90.00
Positions (direct):
N 0.000 0.000 0.000
V 0.000 0.000 0.500
Ti 0.000 0.500 0.000
Ti 0.500 0.000 0.000
In 0.500 0.500 0.500